1.
AlMo2Rh | PBE | optimized geometry Values from VASP.

Computed properties:
**Formation energy**: 0.206 eV per atom
**D(E_F)**: 5.36 states/eV/cell

The structure in Quantum ESPRESSO input format:
```
&SYSTEM
  ibrav = 0, nat = 8, ntyp = 3
/
ATOMIC_SPECIES
Mo 95.94 Mo.upf
Rh 102.91 Rh.upf
Al 26.98 Al.upf
CELL_PARAMETERS angstrom
-0.6815 -0.6486 -3.5085
-3.3283 -1.1716 0.8631
-5.4778 8.2108 -2.3342
ATOMIC_POSITIONS crystal
Mo 0.3750 0.3884 0.7500
Mo 0.6116 0.1250 0.2500
Mo 0.1384 0.6250 0.2500
Mo 0.8750 0.8616 0.7500
Rh 0.0000 0.0000 0.0000
Rh 0.7500 0.2500 0.5000
Al 0.5000 0.5000 0.0000
Al 0.2500 0.7500 0.5000
```

=====

2.
CsKCd2 | PBE | optimized geometry Values from VASP.

Computed properties:
**Relative energy among the computed polymorphs**: 186 meV/atom
**Formation energy**: 0.122 eV per atom
**D(E_F)**: 7.50 states/eV/cell

The structure in Quantum ESPRESSO input format:
```
&SYSTEM
  ibrav = 0, nat = 8, ntyp = 3
/
ATOMIC_SPECIES
Cs 132.91 Cs.upf
K 39.10 K.upf
Cd 112.41 Cd.upf
CELL_PARAMETERS angstrom
10.1449 0.0000 0.0000
0.0000 10.1449 0.0000
5.0725 5.0725 3.7490
ATOMIC_POSITIONS crystal
Cs 0.7500 0.2500 0.5000
Cs 0.0000 0.0000 0.0000
K 0.5000 0.5000 0.0000
K 0.2500 0.7500 0.5000
Cd 0.1438 0.6250 0.2500
Cd 0.3750 0.3938 0.7500
Cd 0.6062 0.1250 0.2500
Cd 0.8750 0.8562 0.7500
```

=====

3.
LiFe2Br6 | PBE | optimized geometry Values from VASP.

Computed properties:
**Formation energy from raw total energies**: -0.686 eV/atom
**D(E_F)**: 10.98 states/eV/cell

The structure in Quantum ESPRESSO input format:
```
&SYSTEM
  ibrav = 0, nat = 18, ntyp = 3
/
ATOMIC_SPECIES
Br 79.90 Br.upf
Fe 55.84 Fe.upf
Li 6.94 Li.upf
CELL_PARAMETERS angstrom
-5.7172 -3.2353 1.0898
0.4819 -8.3945 -5.5494
1.4013 -5.3037 8.4500
ATOMIC_POSITIONS crystal
Br 0.0754 0.7942 0.0029
Br 0.1431 0.3958 0.2560
Br 0.5754 0.0029 0.7942
Br 0.8569 0.6042 0.7440
Br 0.1009 0.1823 0.5840
Br 0.3991 0.4160 0.8177
Br 0.3569 0.7440 0.6042
Br 0.8991 0.8177 0.4160
Br 0.6009 0.5840 0.1823
Br 0.4246 0.9971 0.2058
Br 0.6431 0.2560 0.3958
Br 0.9246 0.2058 0.9971
Fe 0.6772 0.8030 0.6387
Fe 0.1772 0.6387 0.8030
Fe 0.8228 0.3613 0.1970
Fe 0.3228 0.1970 0.3613
Li 0.2500 0.2107 0.7893
Li 0.7500 0.7893 0.2107
```

=====

4.
BaOsRh | PBE | optimized geometry Values from VASP.

Computed properties:
**Relative energy among the computed polymorphs**: 131 meV/atom
**Formation energy**: 0.488 eV per atom
**D(E_F)**: 3.10 states/eV/cell

The structure in Quantum ESPRESSO input format:
```
&SYSTEM
  ibrav = 0, nat = 3, ntyp = 3
/
ATOMIC_SPECIES
Ba 137.33 Ba.upf
Os 190.23 Os.upf
Rh 102.91 Rh.upf
CELL_PARAMETERS angstrom
-1.4846 1.9767 5.7664
1.4846 -1.9767 5.7664
1.4846 1.9767 -5.7664
ATOMIC_POSITIONS crystal
Ba 0.0006 0.0006 0.0000
Os 0.7157 0.7157 0.0000
Rh 0.2836 0.2836 0.0000
```

=====

5.
SmInBi2 | PBE | optimized geometry Values from VASP.

Computed properties:
**Relative energy among the computed polymorphs**: 198 meV/atom
**Formation energy**: -0.236 eV per atom
**D(E_F)**: 2.76 states/eV/cell

The structure in Quantum ESPRESSO input format:
```
&SYSTEM
  ibrav = 0, nat = 4, ntyp = 3
/
ATOMIC_SPECIES
Sm 150.36 Sm.upf
Bi 208.98 Bi.upf
In 114.82 In.upf
CELL_PARAMETERS angstrom
4.7775 0.0000 0.0000
2.3887 4.1374 0.0000
2.3887 1.3791 6.9614
ATOMIC_POSITIONS crystal
Sm 0.6661 0.6661 0.0017
Bi 0.0819 0.0819 0.7542
Bi 0.2549 0.2549 0.2352
In 0.4970 0.4970 0.5089
```

=====

6.
CePr2Cd | PBE | optimized geometry Values from VASP.

Computed properties:
**Relative energy among the computed polymorphs**: 0 meV/atom
**Formation energy**: -0.110 eV per atom
**D(E_F)**: 5.09 states/eV/cell

The structure in Quantum ESPRESSO input format:
```
&SYSTEM
  ibrav = 0, nat = 4, ntyp = 3
/
ATOMIC_SPECIES
Ce 140.12 Ce.upf
Cd 112.41 Cd.upf
Pr 140.91 Pr.upf
CELL_PARAMETERS angstrom
3.6598 0.0000 0.0000
0.0000 3.6598 0.0000
0.0000 0.0000 9.1072
ATOMIC_POSITIONS crystal
Ce 0.5000 0.5000 0.5000
Cd 0.5000 0.5000 0.0000
Pr 0.0000 0.0000 0.2372
Pr 0.0000 0.0000 0.7628
```

=====

7.
RbLiP | PBE | optimized geometry Values from VASP.

Computed properties:
**Relative energy among the computed polymorphs**: 272 meV/atom
**Formation energy**: -0.139 eV per atom
**D(E_F)**: 3.09 states/eV/cell

The structure in Quantum ESPRESSO input format:
```
&SYSTEM
  ibrav = 0, nat = 3, ntyp = 3
/
ATOMIC_SPECIES
Rb 85.47 Rb.upf
Li 6.94 Li.upf
P 30.97 P.upf
CELL_PARAMETERS angstrom
5.0796 0.0000 0.0000
0.0000 4.4376 0.0000
0.0000 -2.2188 3.8431
ATOMIC_POSITIONS crystal
Rb 0.6665 0.6667 0.3333
Li 0.1667 0.3333 0.6667
P 0.1668 0.0000 0.0000
```

=====

8.
CaSmRu | PBE | optimized geometry Values from VASP.

Computed properties:
**Relative energy among the computed polymorphs**: 97 meV/atom
**Formation energy**: 0.037 eV per atom
**D(E_F)**: 12.03 states/eV/cell

The structure in Quantum ESPRESSO input format:
```
&SYSTEM
  ibrav = 0, nat = 12, ntyp = 3
/
ATOMIC_SPECIES
Sm 150.36 Sm.upf
Ca 40.08 Ca.upf
Ru 101.07 Ru.upf
CELL_PARAMETERS angstrom
-6.2292 -0.8629 -2.1626
2.4136 -5.0613 5.2921
-2.4104 4.3114 5.2228
ATOMIC_POSITIONS crystal
Sm 0.7761 0.0522 0.2500
Sm 0.7239 0.9478 0.7500
Sm 0.2239 0.9478 0.7500
Sm 0.2761 0.0522 0.2500
Ca 0.2987 0.5973 0.1019
Ca 0.7013 0.4027 0.8981
Ca 0.7987 0.5973 0.3981
Ca 0.2013 0.4027 0.6019
Ru 0.3971 0.7942 0.4575
Ru 0.8971 0.7942 0.0425
Ru 0.6029 0.2058 0.5425
Ru 0.1029 0.2058 0.9575
```

=====

9.
CaAc2Tl2Pd7 | PBE | optimized geometry Values from VASP.

Computed properties:
**Formation energy**: -0.495 eV per atom
**D(E_F)**: 6.34 states/eV/cell

The structure in Quantum ESPRESSO input format:
```
&SYSTEM
  ibrav = 0, nat = 12, ntyp = 4
/
ATOMIC_SPECIES
Pd 106.42 Pd.upf
Ac 227.00 Ac.upf
Tl 204.38 Tl.upf
Ca 40.08 Ca.upf
CELL_PARAMETERS angstrom
-4.2075 0.5875 -0.4892
-0.2901 -3.5848 -2.3134
-3.9906 -8.7937 11.5431
ATOMIC_POSITIONS crystal
Pd 0.4572 0.9587 0.1335
Pd 0.3707 0.3707 0.4327
Pd 0.0413 0.5428 0.8665
Pd 0.6293 0.6293 0.5673
Pd 0.9587 0.4572 0.1335
Pd 0.5428 0.0413 0.8665
Pd 0.5000 0.5000 0.0000
Ac 0.1107 0.1107 0.6332
Ac 0.8893 0.8893 0.3668
Tl 0.4234 0.4234 0.2465
Tl 0.5766 0.5766 0.7535
Ca 0.0000 0.0000 0.0000
```

=====

10.
YAlBiBr2 | PBE | optimized geometry Values from VASP.

Computed properties:
**Formation energy from raw total energies**: 0.241 eV/atom
**D(E_F)**: 3.41 states/eV/cell

The structure in Quantum ESPRESSO input format:
```
&SYSTEM
  ibrav = 0, nat = 5, ntyp = 4
/
ATOMIC_SPECIES
Y 88.91 Y.upf
Br 79.90 Br.upf
Al 26.98 Al.upf
Bi 208.98 Bi.upf
CELL_PARAMETERS angstrom
5.7010 0.0000 0.0000
0.0000 6.2545 0.0000
0.0000 0.0000 5.7010
ATOMIC_POSITIONS crystal
Y 0.0000 0.5000 0.0000
Br 0.0000 0.0000 0.5000
Br 0.5000 0.0000 0.0000
Al 0.5000 0.5000 0.5000
Bi 0.0000 0.0000 0.0000
```

=====

11.
Sc8CoHg2 | PBE | optimized geometry Values from VASP.

Computed properties:
**Formation energy**: -0.208 eV per atom
**D(E_F)**: 11.90 states/eV/cell

The structure in Quantum ESPRESSO input format:
```
&SYSTEM
  ibrav = 0, nat = 11, ntyp = 3
/
ATOMIC_SPECIES
Hg 200.59 Hg.upf
Sc 44.96 Sc.upf
Co 58.93 Co.upf
CELL_PARAMETERS angstrom
4.8278 0.0000 -1.4693
-0.9568 5.5350 -3.1440
-0.1069 0.9605 8.3148
ATOMIC_POSITIONS crystal
Hg 0.1838 0.6837 0.3675
Hg 0.8162 0.3163 0.6325
Sc 0.6246 0.8643 0.2491
Sc 0.0000 0.7569 0.0000
Sc 0.3754 0.6153 0.7508
Sc 0.0000 0.2431 0.0000
Sc 0.6246 0.3847 0.2492
Sc 0.3754 0.1357 0.7509
Sc 0.8080 0.8081 0.6161
Sc 0.1920 0.1919 0.3839
Co 0.5000 0.0000 0.0000
```

=====

12.
BaSr2Cu | PBE | optimized geometry Values from VASP.

Computed properties:
**Relative energy among the computed polymorphs**: 316 meV/atom
**Formation energy**: 0.314 eV per atom
**D(E_F)**: 6.25 states/eV/cell

The structure in Quantum ESPRESSO input format:
```
&SYSTEM
  ibrav = 0, nat = 4, ntyp = 3
/
ATOMIC_SPECIES
Ba 137.33 Ba.upf
Sr 87.62 Sr.upf
Cu 63.55 Cu.upf
CELL_PARAMETERS angstrom
6.1692 0.0000 0.0000
3.0846 5.3427 0.0000
3.0846 1.7809 5.0372
ATOMIC_POSITIONS crystal
Ba 0.5000 0.5000 0.5000
Sr 0.2500 0.2500 0.2500
Sr 0.0000 0.0000 0.0000
Cu 0.7500 0.7500 0.7500
```

=====

Number 1: raw total energy -7.98 eV/atom. Number 2: raw total energy -0.82 eV/atom. Number 3: raw total energy -3.89 eV/atom. Number 4: raw total energy -6.35 eV/atom. Number 5: raw total energy -4.04 eV/atom. Number 6: raw total energy -4.21 eV/atom. Number 7: raw total energy -2.90 eV/atom. Number 8: raw total energy -5.29 eV/atom. Number 9: raw total energy -4.77 eV/atom. Number 10: raw total energy -3.25 eV/atom. Number 11: raw total energy -5.51 eV/atom. Number 12: raw total energy -2.03 eV/atom.